TaTeAs2 GGA-PBE relaxed; crystal system = orthorhombic; total DFT energy (no corrections) = -23.0 eV for the cell shown; formation energy from raw total energies = 7.3 kcal/mol of atoms
1.0
3.044 -0.021 0.000
-0.925 2.900 0.000
0.000 0.000 9.790
As Te Ta
2 1 1
direct
0.500 0.500 0.286
0.000 0.000 0.012
0.500 0.500 0.717
0.000 0.000 0.485